Material: Ca2MnGe3Ir4
Method: DFT, PBE
State: optimized geometry

```
Ca2MnGe3Ir4
1.0
4.151 0.000 0.000
0.000 4.151 0.000
0.000 0.000 10.586
Ca Mn Ge Ir
2 1 3 4
Cartesian
0.000 2.076 2.614
2.076 0.000 7.972
0.000 0.000 5.293
0.000 2.076 9.215
2.076 0.000 1.371
2.076 2.076 5.293
0.000 0.000 0.000
0.000 2.076 6.740
2.076 0.000 3.845
2.076 2.076 0.000
```

Summary:
For the formation energy, the calculation gives -544 kJ/mol of formula units. Its size of the total moment is 3.7 μB/cell. Its density of states at the Fermi level is 4.16 states/eV/f.u.



Material: NaCa2GeIr
Method: DFT, PBE
State: optimized geometry

```
NaCa2GeIr
1.0
5.610 0.000 0.000
0.000 5.610 0.000
0.000 0.000 4.753
Na Ca Ge Ir
1 2 1 1
Cartesian
0.000 0.000 0.000
0.000 2.805 2.376
2.805 0.000 2.376
2.805 2.805 0.000
2.805 2.805 2.376
```

Summary:
For the formation energy, the calculation gives -142 kJ/mol of formula units. Its size of the total moment is 0.0 μB/cell. Its density of states at the Fermi level is 3.23 states/eV/f.u.



Material: Ca2NbGe3Ir4
Method: DFT, PBE
State: optimized geometry

```
Ca2NbGe3Ir4
1.0
4.170 0.000 0.000
0.000 4.170 0.000
0.000 0.000 10.807
Ca Nb Ge Ir
2 1 3 4
Cartesian
0.000 2.085 2.564
2.085 0.000 8.244
0.000 0.000 5.404
0.000 2.085 9.433
2.085 0.000 1.374
2.085 2.085 5.404
0.000 0.000 0.000
0.000 2.085 6.924
2.085 0.000 3.883
2.085 2.085 0.000
```

Summary:
For the formation energy, the calculation gives -594 kJ/mol of formula units. Its size of the total moment is 0.0 μB/cell. Its density of states at the Fermi level is 6.71 states/eV/f.u.



Material: CaNiGe2Ir
Method: DFT, PBE
State: optimized geometry

```
CaNiGe2Ir
1.0
-2.039 2.039 5.306
2.039 -2.039 5.306
2.039 2.039 -5.306
Ca Ni Ge Ir
1 1 2 1
Cartesian
0.000 0.000 0.000
0.000 2.039 2.653
0.000 0.000 3.992
0.000 0.000 6.620
2.039 0.000 2.653
```

Summary:
For the formation energy, the calculation gives -277 kJ/mol of formula units. Its size of the total moment is 0.0 μB/cell. Its density of states at the Fermi level is 3.16 states/eV/f.u.



Material: Ca2Ni3Ge4Ir
Method: DFT, PBE
State: optimized geometry

```
Ca2Ni3Ge4Ir
1.0
4.063 0.000 0.000
0.000 4.063 0.000
0.000 0.000 10.221
Ca Ni Ge Ir
2 3 4 1
Cartesian
0.000 2.031 2.481
2.031 0.000 7.740
0.000 2.031 8.903
2.031 0.000 1.318
2.031 2.031 5.110
0.000 0.000 0.000
0.000 2.031 6.513
2.031 0.000 3.708
2.031 2.031 0.000
0.000 0.000 5.110
```

Summary:
For the formation energy, the calculation gives -550 kJ/mol of formula units. Its size of the total moment is 0.0 μB/cell. Its density of states at the Fermi level is 3.06 states/eV/f.u.



Material: Ca2Ni4Ge3Ir
Method: DFT, PBE
State: optimized geometry

```
Ca2Ni4Ge3Ir
1.0
4.013 0.000 0.000
0.000 4.013 0.000
0.000 0.000 10.192
Ca Ni Ge Ir
2 4 3 1
Cartesian
0.000 2.007 2.550
2.007 0.000 7.642
0.000 0.000 0.000
0.000 2.007 6.531
2.007 0.000 3.661
2.007 2.007 0.000
0.000 2.007 8.893
2.007 0.000 1.299
2.007 2.007 5.096
0.000 0.000 5.096
```

Summary:
For the formation energy, the calculation gives -414 kJ/mol of formula units. Its size of the total moment is 0.0 μB/cell. Its density of states at the Fermi level is 9.54 states/eV/f.u.



Material: Ca2NiGe3Ir4
Method: DFT, PBE
State: optimized geometry

```
Ca2NiGe3Ir4
1.0
4.167 0.000 0.000
0.000 4.167 0.000
0.000 0.000 10.329
Ca Ni Ge Ir
2 1 3 4
Cartesian
0.000 2.083 2.545
2.083 0.000 7.784
2.083 2.083 0.000
0.000 0.000 0.000
0.000 2.083 6.528
2.083 0.000 3.801
0.000 0.000 5.165
0.000 2.083 8.974
2.083 0.000 1.355
2.083 2.083 5.165
```

Summary:
For the formation energy, the calculation gives -525 kJ/mol of formula units. Its size of the total moment is 0.0 μB/cell. Its density of states at the Fermi level is 3.98 states/eV/f.u.



Material: Ca2NiGe4Ir3
Method: DFT, PBE
State: optimized geometry

```
Ca2NiGe4Ir3
1.0
4.211 0.000 0.000
0.000 4.211 0.000
0.000 0.000 10.258
Ca Ni Ge Ir
2 1 4 3
Cartesian
0.000 2.106 2.548
2.106 0.000 7.710
2.106 2.106 0.000
0.000 0.000 5.129
0.000 2.106 8.962
2.106 0.000 1.296
2.106 2.106 5.129
0.000 0.000 0.000
0.000 2.106 6.473
2.106 0.000 3.785
```

Summary:
For the formation energy, the calculation gives -560 kJ/mol of formula units. Its size of the total moment is 0.0 μB/cell. Its density of states at the Fermi level is 5.88 states/eV/f.u.



Material: Ca2GeIrO
Method: DFT, PBE
State: optimized geometry

```
Ca2GeIrO
1.0
5.597 0.000 0.000
0.000 5.597 0.000
0.000 0.000 3.736
Ca Ge Ir O
2 1 1 1
Cartesian
0.000 2.799 0.000
2.799 0.000 0.000
0.000 0.000 0.000
2.799 2.799 1.868
0.000 0.000 1.868
```

Summary:
Its uncorrected formation energy is 0.09 eV per atom. Its size of the total moment is 0.0 μB/cell. Its density of states at the Fermi level is 4.90 states/eV/f.u.



Material: Ca2GeIrO6
Method: DFT, PBE
State: optimized geometry

```
Ca2GeIrO6
1.0
5.515 0.000 0.000
0.000 5.515 0.000
0.000 0.000 3.865
Ca Ge Ir O
2 1 1 6
Cartesian
0.000 2.758 0.000
2.758 0.000 0.000
0.000 0.000 2.099
2.758 2.758 2.148
0.000 0.000 0.245
1.331 1.331 2.277
1.331 4.184 2.277
2.758 2.758 0.223
4.184 1.331 2.277
4.184 4.184 2.277
```

Summary:
Its uncorrected formation energy is -1.77 eV per atom. Its size of the total moment is 0.0 μB/cell. Its density of states at the Fermi level is 5.22 states/eV/f.u.



Material: CaGe2IrPd
Method: DFT, PBE
State: optimized geometry

```
CaGe2IrPd
1.0
4.696 0.000 0.000
0.000 4.696 0.000
0.000 0.000 5.490
Ca Ge Ir Pd
1 2 1 1
Cartesian
0.000 0.000 0.000
0.000 2.348 2.745
2.348 0.000 2.745
0.000 0.000 2.745
2.348 2.348 0.000
```

Summary:
For the formation energy, the calculation gives -12 kJ/mol of formula units. Its size of the total moment is 0.0 μB/cell. Its density of states at the Fermi level is 2.60 states/eV/f.u.



Material: Ca2Ge4IrPd3
Method: DFT, PBE
State: optimized geometry

```
Ca2Ge4IrPd3
1.0
4.170 0.000 0.000
0.000 4.170 0.000
0.000 0.000 10.839
Ca Ge Ir Pd
2 4 1 3
Cartesian
0.000 2.085 2.690
2.085 0.000 8.150
0.000 0.000 0.000
0.000 2.085 6.831
2.085 0.000 4.009
2.085 2.085 0.000
0.000 0.000 5.420
0.000 2.085 9.316
2.085 0.000 1.523
2.085 2.085 5.420
```

Summary:
For the formation energy, the calculation gives -651 kJ/mol of formula units. Its size of the total moment is 0.0 μB/cell. Its density of states at the Fermi level is 3.39 states/eV/f.u.